(1)
! Na3Mg2Hg4 | the Alexandria database | PBE | optimized geometry; values from VASP
&SYSTEM
  ibrav = 0, nat = 9, ntyp = 3
/
ATOMIC_SPECIES
Na 22.99 Na.upf
Mg 24.30 Mg.upf
Hg 200.59 Hg.upf
ATOMIC_POSITIONS angstrom
Na 0.000 0.000 0.000
Na 2.960 0.000 2.229
Na 4.683 0.000 7.447
Mg 1.775 0.000 5.741
Mg 5.868 0.000 3.934
Hg -0.007 0.000 3.359
Hg 1.665 0.000 8.688
Hg 5.978 0.000 0.987
Hg 7.650 0.000 6.316
CELL_PARAMETERS angstrom
4.454 -2.598 0.000
4.454 2.598 0.000
-1.264 0.000 9.675
! - Energy above the lowest structure with this stoichiometry: 0.10 eV per formula unit
! - Energy relative to the elements: -0.184 eV/atom
! - Density of states at the Fermi level: 0.475 states/eV/atom
! - VASP energy: -0.0409 Ha/atom

(2)
! Na8MgHg2 | the Alexandria database | PBE | optimized geometry; values from VASP
&SYSTEM
  ibrav = 0, nat = 11, ntyp = 3
/
ATOMIC_SPECIES
Na 22.99 Na.upf
Mg 24.30 Mg.upf
Hg 200.59 Hg.upf
ATOMIC_POSITIONS angstrom
Na 2.577 2.441 -2.412
Na 0.000 0.000 2.346
Na 0.000 2.633 0.000
Na 2.577 2.441 2.412
Na 0.000 1.860 5.235
Na 0.000 5.968 0.000
Na 0.000 0.000 12.949
Na 0.000 1.860 10.060
Mg 2.577 0.000 0.000
Hg 2.577 0.000 4.679
Hg 0.000 4.300 2.969
CELL_PARAMETERS angstrom
-2.577 4.300 7.648
2.577 -4.300 7.648
2.577 4.300 -7.648
! - Energy relative to the elements: -0.068 eV/atom
! - Density of states at the Fermi level: 0.401 states/eV/atom
! - VASP energy: -0.0451 Ha/atom

(3)
! NaMg6Hg6 | the Alexandria database | PBE | optimized geometry; values from VASP
&SYSTEM
  ibrav = 0, nat = 13, ntyp = 3
/
ATOMIC_SPECIES
Na 22.99 Na.upf
Mg 24.30 Mg.upf
Hg 200.59 Hg.upf
ATOMIC_POSITIONS angstrom
Na 0.000 0.000 0.000
Mg 1.539 2.353 -2.631
Mg 1.539 -2.353 2.631
Mg 3.077 2.380 0.000
Mg -1.539 2.353 2.631
Mg 1.539 2.353 2.631
Mg 0.000 2.327 5.262
Hg 3.077 0.000 1.752
Hg 0.000 3.109 0.000
Hg 0.000 0.000 3.495
Hg 0.000 0.000 7.029
Hg 0.000 6.304 0.000
Hg 0.000 4.706 3.510
CELL_PARAMETERS angstrom
-3.077 4.706 5.262
3.077 -4.706 5.262
3.077 4.706 -5.262
! - Energy relative to the elements: -0.175 eV/atom
! - Density of states at the Fermi level: 0.386 states/eV/atom
! - VASP energy: -0.0423 Ha/atom

- What is the VASP energy in the first record?
  -0.0409 Ha/atom

Repeat the third record exactly.
! NaMg6Hg6 | the Alexandria database | PBE | optimized geometry; values from VASP
&SYSTEM
  ibrav = 0, nat = 13, ntyp = 3
/
ATOMIC_SPECIES
Na 22.99 Na.upf
Mg 24.30 Mg.upf
Hg 200.59 Hg.upf
ATOMIC_POSITIONS angstrom
Na 0.000 0.000 0.000
Mg 1.539 2.353 -2.631
Mg 1.539 -2.353 2.631
Mg 3.077 2.380 0.000
Mg -1.539 2.353 2.631
Mg 1.539 2.353 2.631
Mg 0.000 2.327 5.262
Hg 3.077 0.000 1.752
Hg 0.000 3.109 0.000
Hg 0.000 0.000 3.495
Hg 0.000 0.000 7.029
Hg 0.000 6.304 0.000
Hg 0.000 4.706 3.510
CELL_PARAMETERS angstrom
-3.077 4.706 5.262
3.077 -4.706 5.262
3.077 4.706 -5.262
! - Energy relative to the elements: -0.175 eV/atom
! - Density of states at the Fermi level: 0.386 states/eV/atom
! - VASP energy: -0.0423 Ha/atom